(1)
# PuHfCo, optimized geometry, DFT PBE
# - SG: P6_222, No. 180
# - Calculated formation energy: 41 meV per atom
data_PuHfCo
_space_group_name_H-M_alt 'P 1'
_space_group_IT_number 1
_space_group_name_Hall 'P 1'
_cell_length_a 6.2195
_cell_length_b 6.2195
_cell_length_c 11.1632
_cell_angle_alpha 90.00
_cell_angle_beta 90.00
_cell_angle_gamma 120.00
loop_
_atom_site_label
_atom_site_fract_x
_atom_site_fract_y
_atom_site_fract_z
Pu1 0.0000 0.0000 0.0000
Pu2 0.0000 0.0000 0.3333
Pu3 0.0000 0.0000 0.6667
Pu4 0.0000 0.5000 0.1667
Pu5 0.5000 0.0000 0.5000
Pu6 0.5000 0.5000 0.8333
Hf1 0.0000 0.5000 0.4732
Hf2 0.0000 0.5000 0.8602
Hf3 0.5000 0.0000 0.1935
Hf4 0.5000 0.0000 0.8065
Hf5 0.5000 0.5000 0.1398
Hf6 0.5000 0.5000 0.5268
Co1 0.2547 0.6274 0.6667
Co2 0.3726 0.6274 0.3333
Co3 0.3726 0.7453 0.0000
Co4 0.6274 0.2547 0.0000
Co5 0.6274 0.3726 0.3333
Co6 0.7453 0.3726 0.6667

(2)
# MgTc2Se, optimized geometry, DFT PBE
# - SG: I4/mmm, No. 139
data_MgTc2Se
_space_group_name_H-M_alt 'P 1'
_space_group_IT_number 1
_space_group_name_Hall 'P 1'
_cell_length_a 5.3398
_cell_length_b 5.3398
_cell_length_c 5.3398
_cell_angle_alpha 139.14
_cell_angle_beta 139.14
_cell_angle_gamma 59.17
loop_
_atom_site_label
_atom_site_fract_x
_atom_site_fract_y
_atom_site_fract_z
Mg1 0.0000 0.0000 0.0000
Tc1 0.2500 0.7500 0.5000
Tc2 0.7500 0.2500 0.5000
Se1 0.5000 0.5000 0.0000

(3)
# Ca2MoIr, optimized geometry, DFT PBE
# - SG: P4mm, No. 99
# - Calculated formation energy: 110 meV per atom
data_Ca2MoIr
_space_group_name_H-M_alt 'P 1'
_space_group_IT_number 1
_space_group_name_Hall 'P 1'
_cell_length_a 3.3140
_cell_length_b 3.3140
_cell_length_c 8.9973
_cell_angle_alpha 90.00
_cell_angle_beta 90.00
_cell_angle_gamma 90.00
loop_
_atom_site_label
_atom_site_fract_x
_atom_site_fract_y
_atom_site_fract_z
Ca1 0.0000 0.0000 0.0000
Ca2 0.5000 0.5000 0.3841
Mo1 0.5000 0.5000 0.7460
Ir1 0.0000 0.0000 0.6218

(4)
# MnFePb2, optimized geometry, DFT PBE
# - SG: Pmmm, No. 47
# - Calculated formation energy: 590 meV per atom
data_MnFePb2
_space_group_name_H-M_alt 'P 1'
_space_group_IT_number 1
_space_group_name_Hall 'P 1'
_cell_length_a 3.8127
_cell_length_b 4.3254
_cell_length_c 5.0876
_cell_angle_alpha 90.00
_cell_angle_beta 90.00
_cell_angle_gamma 90.00
loop_
_atom_site_label
_atom_site_fract_x
_atom_site_fract_y
_atom_site_fract_z
Mn1 0.0000 0.0000 0.0000
Fe1 0.0000 0.5000 0.5000
Pb1 0.5000 0.0000 0.5000
Pb2 0.5000 0.5000 0.0000

(5)
# KTlPd3, optimized geometry, DFT PBE
# - SG: Pm-3m, No. 221
# - Calculated formation energy: 387 meV per atom
data_KTlPd3
_space_group_name_H-M_alt 'P 1'
_space_group_IT_number 1
_space_group_name_Hall 'P 1'
_cell_length_a 5.1897
_cell_length_b 5.1897
_cell_length_c 5.1897
_cell_angle_alpha 90.00
_cell_angle_beta 90.00
_cell_angle_gamma 90.00
loop_
_atom_site_label
_atom_site_fract_x
_atom_site_fract_y
_atom_site_fract_z
K1 0.0000 0.0000 0.0000
Tl1 0.5000 0.5000 0.5000
Pd1 0.0000 0.5000 0.5000
Pd2 0.5000 0.0000 0.5000
Pd3 0.5000 0.5000 0.0000

(6)
# NaTmCd4, optimized geometry, DFT PBE
# - SG: F-43m, No. 216
# - Calculated formation energy: -110 meV per atom
data_NaTmCd4
_space_group_name_H-M_alt 'P 1'
_space_group_IT_number 1
_space_group_name_Hall 'P 1'
_cell_length_a 5.9059
_cell_length_b 5.9059
_cell_length_c 5.9059
_cell_angle_alpha 60.00
_cell_angle_beta 60.00
_cell_angle_gamma 60.00
loop_
_atom_site_label
_atom_site_fract_x
_atom_site_fract_y
_atom_site_fract_z
Na1 0.0000 0.0000 0.0000
Tm1 0.7500 0.7500 0.7500
Cd1 0.3750 0.3750 0.3750
Cd2 0.3750 0.3750 0.8749
Cd3 0.3750 0.8749 0.3750
Cd4 0.8749 0.3750 0.3750

(7)
# LaNdYHo, optimized geometry, DFT PBE
# - SG: F-43m, No. 216
# - Calculated formation energy: 94 meV per atom
data_LaNdYHo
_space_group_name_H-M_alt 'P 1'
_space_group_IT_number 1
_space_group_name_Hall 'P 1'
_cell_length_a 5.7854
_cell_length_b 5.7854
_cell_length_c 5.7854
_cell_angle_alpha 60.00
_cell_angle_beta 60.00
_cell_angle_gamma 60.00
loop_
_atom_site_label
_atom_site_fract_x
_atom_site_fract_y
_atom_site_fract_z
La1 0.0000 0.0000 0.0000
Nd1 0.5000 0.5000 0.5000
Y1 0.2500 0.2500 0.2500
Ho1 0.7500 0.7500 0.7500

(8)
# LaPa3Tl4O12, optimized geometry, DFT PBE
# - SG: Im-3m, No. 229
data_LaPa3Tl4O12
_space_group_name_H-M_alt 'P 1'
_space_group_IT_number 1
_space_group_name_Hall 'P 1'
_cell_length_a 7.7298
_cell_length_b 7.7298
_cell_length_c 7.7298
_cell_angle_alpha 109.47
_cell_angle_beta 109.47
_cell_angle_gamma 109.47
loop_
_atom_site_label
_atom_site_fract_x
_atom_site_fract_y
_atom_site_fract_z
La1 0.0000 0.0000 0.0000
Pa1 0.0000 0.5000 0.5000
Pa2 0.5000 0.0000 0.5000
Pa3 0.5000 0.5000 0.0000
Tl1 0.0000 0.0000 0.5000
Tl2 0.0000 0.5000 0.0000
Tl3 0.5000 0.0000 0.0000
Tl4 0.5000 0.5000 0.5000
O1 0.0000 0.2668 0.2668
O2 0.0000 0.7332 0.7332
O3 0.2500 0.5000 0.7500
O4 0.2500 0.7500 0.5000
O5 0.2668 0.0000 0.2668
O6 0.2668 0.2668 0.0000
O7 0.5000 0.2500 0.7500
O8 0.5000 0.7500 0.2500
O9 0.7332 0.0000 0.7332
O10 0.7332 0.7332 0.0000
O11 0.7500 0.2500 0.5000
O12 0.7500 0.5000 0.2500

(9)
# BaHfS3, optimized geometry, DFT PBE
# - SG: P2_1/m, No. 11
data_BaHfS3
_space_group_name_H-M_alt 'P 1'
_space_group_IT_number 1
_space_group_name_Hall 'P 1'
_cell_length_a 4.3477
_cell_length_b 8.1184
_cell_length_c 8.9391
_cell_angle_alpha 90.00
_cell_angle_beta 104.07
_cell_angle_gamma 90.00
loop_
_atom_site_label
_atom_site_fract_x
_atom_site_fract_y
_atom_site_fract_z
Ba1 0.1865 0.2500 0.3745
Ba2 0.8135 0.7500 0.6255
Hf1 0.4285 0.2500 0.8557
Hf2 0.5715 0.7500 0.1443
S1 0.0033 0.7500 0.0078
S2 0.3428 0.0259 0.6841
S3 0.3428 0.4741 0.6841
S4 0.6572 0.5259 0.3159
S5 0.6572 0.9741 0.3159
S6 0.9967 0.2500 0.9922

(10)
# HfZrTaBi2, optimized geometry, DFT PBE
# - SG: P4/mmm, No. 123
# - Calculated formation energy: 1296 meV per atom
data_HfZrTaBi2
_space_group_name_H-M_alt 'P 1'
_space_group_IT_number 1
_space_group_name_Hall 'P 1'
_cell_length_a 5.4912
_cell_length_b 5.4912
_cell_length_c 5.0031
_cell_angle_alpha 90.00
_cell_angle_beta 90.00
_cell_angle_gamma 90.00
loop_
_atom_site_label
_atom_site_fract_x
_atom_site_fract_y
_atom_site_fract_z
Hf1 0.0000 0.0000 0.0000
Zr1 0.5000 0.5000 0.5000
Ta1 0.5000 0.5000 0.0000
Bi1 0.0000 0.5000 0.5000
Bi2 0.5000 0.0000 0.5000

(11)
# La2SbIrF, optimized geometry, DFT PBE
# - SG: P4/mmm, No. 123
data_La2SbIrF
_space_group_name_H-M_alt 'P 1'
_space_group_IT_number 1
_space_group_name_Hall 'P 1'
_cell_length_a 6.0292
_cell_length_b 6.0292
_cell_length_c 4.2644
_cell_angle_alpha 90.00
_cell_angle_beta 90.00
_cell_angle_gamma 90.00
loop_
_atom_site_label
_atom_site_fract_x
_atom_site_fract_y
_atom_site_fract_z
La1 0.0000 0.5000 0.0000
La2 0.5000 0.0000 0.0000
Sb1 0.0000 0.0000 0.0000
Ir1 0.5000 0.5000 0.5000
F1 0.0000 0.0000 0.5000

(12)
# La5CePmY2, optimized geometry, DFT PBE
# - SG: P4/mbm, No. 127
# - Calculated formation energy: 291 meV per atom
data_La5CePmY2
_space_group_name_H-M_alt 'P 1'
_space_group_IT_number 1
_space_group_name_Hall 'P 1'
_cell_length_a 8.3751
_cell_length_b 8.3751
_cell_length_c 9.2337
_cell_angle_alpha 90.00
_cell_angle_beta 90.00
_cell_angle_gamma 90.00
loop_
_atom_site_label
_atom_site_fract_x
_atom_site_fract_y
_atom_site_fract_z
La1 0.0000 0.0000 0.0000
La2 0.1903 0.3097 0.2759
La3 0.1903 0.3097 0.7241
La4 0.3097 0.8097 0.2759
La5 0.3097 0.8097 0.7241
La6 0.5000 0.5000 0.0000
La7 0.6903 0.1903 0.2759
La8 0.6903 0.1903 0.7241
La9 0.8097 0.6903 0.2759
La10 0.8097 0.6903 0.7241
Ce1 0.0000 0.5000 0.5000
Ce2 0.5000 0.0000 0.5000
Pm1 0.0000 0.0000 0.5000
Pm2 0.5000 0.5000 0.5000
Y1 0.1288 0.6288 0.0000
Y2 0.3712 0.1288 0.0000
Y3 0.6288 0.8712 0.0000
Y4 0.8712 0.3712 0.0000

| no. | DFT total energy (eV/atom) |
| --- | --- |
| 1 | -10.42 |
| 2 | -6.09 |
| 3 | -5.81 |
| 4 | -5.67 |
| 5 | -3.42 |
| 6 | -1.69 |
| 7 | -5.09 |
| 8 | -7.59 |
| 9 | -6.53 |
| 10 | -6.33 |
| 11 | -5.20 |
| 12 | -5.07 |